W2OF after structural relaxation, computed with PBE+U.

Cell and atoms, written as extended XYZ:
```
8
Lattice="-2.4735 3.1348 -0.3784 -2.2552 -2.0904 -2.5755 -6.2983 -1.9261 3.9551" Properties=species:S:1:pos:R:3 pbc="T T T"
F -5.5681 0.8655 1.0498
F 0.0000 0.0000 0.0000
W -8.7762 -0.4517 0.4789
W -3.3867 -1.2777 -0.6825
W -3.3090 1.0980 0.4446
W -6.5822 -1.1319 1.7613
O -2.3644 0.5222 -1.4770
O -5.4590 -1.7471 -0.0487
```

Computed properties:
- Uncorrected energy: -5.282 eV per atom
- N(E_F): 0.5294 states/eV/atom